Entry 1:
# AcCdBi2Pd2

A geometry-optimized AcCdBi2Pd2 structure (PBE, Alexandria).

Output
**Density**: 9.13 g/cm3
**Total energy**: -4.13 eV/atom

Cell: 6.8697 6.8697 6.8697 Å, 131.81 131.81 70.53°
Element x y z (fractional)
Ac: 0.0000 0.0000 0.0000
Cd: 0.5000 0.5000 0.0000
Bi: 0.2500 0.7500 0.5000
Bi: 0.7500 0.2500 0.5000
Pd: 0.2635 0.2635 0.0000
Pd: 0.7365 0.7365 0.0000

Entry 2:
# AcCdBiPd

A geometry-optimized AcCdBiPd structure (PBE, Alexandria).

Output
**Density**: 10.11 g/cm3
**Total energy**: -3.98 eV/atom

Cell: 5.3375 5.3375 5.3375 Å, 60.00 60.00 60.00°
Element x y z (fractional)
Ac: 0.0000 0.0000 0.0000
Cd: 0.7500 0.7500 0.7500
Bi: 0.5000 0.5000 0.5000
Pd: 0.2500 0.2500 0.2500

Entry 3:
# AcPrCdBi

A geometry-optimized AcPrCdBi structure (PBE, Alexandria).

Output
**Density**: 8.70 g/cm3
**Total energy**: -3.90 eV/atom

Cell: 5.7081 5.7081 5.7081 Å, 60.00 60.00 60.00°
Element x y z (fractional)
Ac: 0.0000 0.0000 0.0000
Pr: 0.5000 0.5000 0.5000
Cd: 0.2500 0.2500 0.2500
Bi: 0.7500 0.7500 0.7500

Entry 4:
# AcCdBiPt

A geometry-optimized AcCdBiPt structure (PBE, Alexandria).

Output
**Density**: 11.59 g/cm3
**Total energy**: -4.22 eV/atom

Cell: 5.3201 5.3201 5.3201 Å, 60.00 60.00 60.00°
Element x y z (fractional)
Ac: 0.0000 0.0000 0.0000
Cd: 0.7500 0.7500 0.7500
Bi: 0.5000 0.5000 0.5000
Pt: 0.2500 0.2500 0.2500

Entry 5:
# AcPuCdBi

A geometry-optimized AcPuCdBi structure (PBE, Alexandria).

Output
**Density**: 10.24 g/cm3
**Total energy**: -6.09 eV/atom

Cell: 5.6648 5.6648 5.6648 Å, 60.00 60.00 60.00°
Element x y z (fractional)
Ac: 0.0000 0.0000 0.0000
Pu: 0.5000 0.5000 0.5000
Cd: 0.7500 0.7500 0.7500
Bi: 0.2500 0.2500 0.2500

Entry 6:
# RbAcCdBi

A geometry-optimized RbAcCdBi structure (PBE, Alexandria).

Output
**Density**: 7.02 g/cm3
**Total energy**: -2.74 eV/atom

Cell: 5.9633 5.9633 5.9633 Å, 60.00 60.00 60.00°
Element x y z (fractional)
Rb: 0.0000 0.0000 0.0000
Ac: 0.5000 0.5000 0.5000
Cd: 0.2500 0.2500 0.2500
Bi: 0.7500 0.7500 0.7500

Entry 7:
# Rb2AcCdBi2

A geometry-optimized Rb2AcCdBi2 structure (PBE, Alexandria).

Output
**Density**: 6.38 g/cm3
**Total energy**: -2.91 eV/atom

Cell: 5.0101 10.5131 9.1760 Å, 90.00 90.00 90.00°
Element x y z (fractional)
Rb: 0.0000 0.0865 0.0000
Rb: 0.0000 0.9135 0.5000
Rb: 0.5000 0.1635 0.3277
Rb: 0.5000 0.8365 0.8277
Ac: 0.5000 0.4678 0.9480
Ac: 0.5000 0.5322 0.4480
Cd: 0.0000 0.3206 0.6054
Cd: 0.0000 0.6794 0.1054
Bi: 0.0000 0.4041 0.2129
Bi: 0.0000 0.5959 0.7129
Bi: 0.5000 0.1971 0.7290
Bi: 0.5000 0.8029 0.2290

Entry 8:
# AcCdBi4Rh2

A geometry-optimized AcCdBi4Rh2 structure (PBE, Alexandria).

Output
**Density**: 9.46 g/cm3
**Total energy**: -4.38 eV/atom

Cell: 4.7753 4.7753 10.6353 Å, 90.00 90.00 90.00°
Element x y z (fractional)
Ac: 0.0000 0.0000 0.0000
Cd: 0.0000 0.0000 0.5000
Bi: 0.0000 0.5000 0.2493
Bi: 0.0000 0.5000 0.7507
Bi: 0.5000 0.0000 0.2493
Bi: 0.5000 0.0000 0.7507
Rh: 0.5000 0.5000 0.3774
Rh: 0.5000 0.5000 0.6226

no.,formation energy (eV/atom)
1,-0.268
2,-0.459
3,-0.479
4,-0.483
5,-0.280
6,-0.274
7,-0.458
8,0.027